[1]
! K2MgNp2Se6 | Alexandria | GGA-PBE | optimized geometry; values from VASP
! **Calculated volume**: 342.8 Å³/cell
! **Space group**: C2/m, No. 12
! **E_tot**: -5.805 eV per atom
&SYSTEM
  ibrav = 0, nat = 11, ntyp = 4
/
ATOMIC_SPECIES
K 39.10 K.upf
Mg 24.30 Mg.upf
Np 237.00 Np.upf
Se 78.96 Se.upf
CELL_PARAMETERS angstrom
-3.137 -3.021 -5.623
5.696 -3.044 2.979
-5.522 -2.072 5.665
ATOMIC_POSITIONS crystal
K 0.835 0.165 0.000
K 0.165 0.835 0.000
Mg 0.000 0.000 0.500
Np 0.334 0.666 0.500
Np 0.666 0.334 0.500
Se 0.734 0.734 0.695
Se 0.064 0.399 0.697
Se 0.266 0.266 0.305
Se 0.399 0.064 0.697
Se 0.936 0.601 0.303
Se 0.601 0.936 0.303



[2]
! K3MgNp2Se6 | Alexandria | GGA-PBE | optimized geometry; values from VASP
! **Calculated volume**: 349.2 Å³/cell
! **Space group**: C2/m, No. 12
! **E_tot**: -5.558 eV per atom
&SYSTEM
  ibrav = 0, nat = 12, ntyp = 4
/
ATOMIC_SPECIES
K 39.10 K.upf
Mg 24.30 Mg.upf
Np 237.00 Np.upf
Se 78.96 Se.upf
CELL_PARAMETERS angstrom
-4.973 -3.220 -4.194
6.978 0.009 -2.000
0.418 -5.506 5.824
ATOMIC_POSITIONS crystal
K 0.166 0.834 0.500
K 0.834 0.166 0.500
K 0.500 0.500 0.500
Mg 0.000 0.000 0.000
Np 0.333 0.667 0.000
Np 0.667 0.333 0.000
Se 0.933 0.602 0.798
Se 0.736 0.736 0.201
Se 0.067 0.398 0.202
Se 0.602 0.933 0.798
Se 0.264 0.264 0.799
Se 0.398 0.067 0.202